Ca8Bi5Pb: relaxed, PBE-GGA.

Lattice parameters (Å, degrees): 8.4134 8.4134 8.4134 109.20 110.01 109.20
Element x y z (fractional)
Ca  0.6291  0.9071  0.8727
Ca  0.1223  0.7562  0.5157
Ca  0.4843  0.6066  0.2405
Ca  0.2780  0.2436  0.3709
Ca  0.9656  0.0929  0.7220
Ca  0.1273  0.7564  0.0344
Ca  0.6339  0.3934  0.8777
Ca  0.7595  0.2438  0.3661
Bi  0.0139  0.3797  0.1311
Bi  0.7513  0.6202  0.6341
Bi  0.5000  0.0000  0.5000
Bi  0.8689  0.8828  0.2487
Bi  0.3659  0.1172  0.9861
Pb  0.2500  0.5000  0.7500

As for the total energy: -49.9 eV for the cell shown. As for the formation energy: -74.5 kJ/mol of atoms.